The following is a PBE-GGA calculation of a geometry-optimized Pr6ZnRh2 structure, from Alexandria.

Structure (CIF):
```
data_Pr6ZnRh2
_space_group_name_H-M_alt 'I m m m'
_space_group_IT_number 71
_space_group_name_Hall '-I 2 2'
_cell_length_a 9.650
_cell_length_b 10.001
_cell_length_c 10.667
_cell_angle_alpha 90.00
_cell_angle_beta 90.00
_cell_angle_gamma 90.00
loop_
_atom_site_label
_atom_site_type_symbol
_atom_site_fract_x
_atom_site_fract_y
_atom_site_fract_z
Pr1 Pr 0.000 0.194 0.235
Pr2 Pr 0.193 0.500 0.170
Pr3 Pr 0.215 0.324 0.500
Zn1 Zn 0.000 0.000 0.000
Zn2 Zn 0.000 0.000 0.500
Rh1 Rh 0.000 0.331 0.000
Rh2 Rh 0.000 0.500 0.368
```

Summary:
The calculation puts the total magnetization at 0.0 μB per cell. Its energy of formation is -0.398 eV/atom.

The following is a PBE-GGA calculation of a geometry-optimized PrZnRh2 structure, from Alexandria.

Structure (CIF):
```
data_PrZnRh2
_space_group_name_H-M_alt 'P m m a'
_space_group_IT_number 51
_space_group_name_Hall '-P 2a 2a'
_cell_length_a 5.854
_cell_length_b 7.424
_cell_length_c 8.322
_cell_angle_alpha 90.00
_cell_angle_beta 90.00
_cell_angle_gamma 90.00
loop_
_atom_site_label
_atom_site_type_symbol
_atom_site_fract_x
_atom_site_fract_y
_atom_site_fract_z
Pr1 Pr 0.250 0.000 0.191
Pr2 Pr 0.250 0.500 0.287
Zn1 Zn 0.250 0.000 0.759
Zn2 Zn 0.250 0.500 0.768
Rh1 Rh 0.000 0.000 0.500
Rh2 Rh 0.000 0.500 0.000
Rh3 Rh 0.250 0.289 0.542
```

Summary:
The calculation puts the total magnetization at 0.0 μB per cell. Its energy of formation is 0.002 eV/atom.

The following is a PBE-GGA calculation of a geometry-optimized PrZn9Rh2 structure, from Alexandria.

Structure (CIF):
```
data_PrZn9Rh2
_space_group_name_H-M_alt 'P 6/m m m'
_space_group_IT_number 191
_space_group_name_Hall '-P 6 2'
_cell_length_a 8.7205
_cell_length_b 8.7205
_cell_length_c 3.0531
_cell_angle_alpha 90.00
_cell_angle_beta 90.00
_cell_angle_gamma 120.00
loop_
_atom_site_label
_atom_site_type_symbol
_atom_site_fract_x
_atom_site_fract_y
_atom_site_fract_z
Pr1 Pr 0.0000 0.0000 0.0000
Zn1 Zn 0.0000 0.5000 0.0000
Zn2 Zn 0.1891 0.3782 0.5000
Rh1 Rh 0.3333 0.6667 0.0000
```

Summary:
As for the offset from the most stable computed form: 99 meV per atom. The calculation puts the total magnetization at 0.0 μB per cell. Its energy of formation is -0.247 eV/atom.

The following is a PBE-GGA calculation of a geometry-optimized Pr2Zn3Rh4 structure, from Alexandria.

Structure (CIF):
```
data_Pr2Zn3Rh4
_space_group_name_H-M_alt 'C m c e'
_space_group_IT_number 64
_space_group_name_Hall '-C 2ac 2'
_cell_length_a 5.681
_cell_length_b 15.665
_cell_length_c 7.333
_cell_angle_alpha 90.00
_cell_angle_beta 90.00
_cell_angle_gamma 90.00
loop_
_atom_site_label
_atom_site_type_symbol
_atom_site_fract_x
_atom_site_fract_y
_atom_site_fract_z
Pr1 Pr 0.000 0.105 0.089
Zn1 Zn 0.000 0.000 0.500
Zn2 Zn 0.250 0.234 0.750
Rh1 Rh 0.000 0.171 0.486
Rh2 Rh 0.250 0.069 0.750
```

Summary:
The calculation puts the total magnetization at 0.0 μB per cell. Its energy of formation is -0.554 eV/atom.

The following is a PBE-GGA calculation of a geometry-optimized PrZn3Rh2 structure, from Alexandria.

Structure (CIF):
```
data_PrZn3Rh2
_space_group_name_H-M_alt 'I 4/m m m'
_space_group_IT_number 139
_space_group_name_Hall '-I 4 2'
_cell_length_a 4.937
_cell_length_b 4.937
_cell_length_c 10.331
_cell_angle_alpha 90.00
_cell_angle_beta 90.00
_cell_angle_gamma 90.00
loop_
_atom_site_label
_atom_site_type_symbol
_atom_site_fract_x
_atom_site_fract_y
_atom_site_fract_z
Pr1 Pr 0.000 0.000 0.000
Zn1 Zn 0.000 0.000 0.500
Zn2 Zn 0.000 0.500 0.250
Rh1 Rh 0.000 0.000 0.268
```

Summary:
The calculation puts the total magnetization at 0.0 μB per cell. Its energy of formation is -0.198 eV/atom.

The following is a PBE-GGA calculation of a geometry-optimized Pr5Zn5Rh2 structure, from Alexandria.

Structure (CIF):
```
data_Pr5Zn5Rh2
_space_group_name_H-M_alt 'C 1 2/m 1'
_space_group_IT_number 12
_space_group_name_Hall '-C 2y'
_cell_length_a 16.007
_cell_length_b 4.299
_cell_length_c 11.610
_cell_angle_alpha 90.00
_cell_angle_beta 133.15
_cell_angle_gamma 90.00
loop_
_atom_site_label
_atom_site_type_symbol
_atom_site_fract_x
_atom_site_fract_y
_atom_site_fract_z
Pr1 Pr 0.000 0.000 0.000
Pr2 Pr 0.117 0.000 0.415
Pr3 Pr 0.193 0.000 0.817
Zn1 Zn 0.000 0.500 0.500
Zn2 Zn 0.058 0.500 0.846
Zn3 Zn 0.236 0.500 0.679
Rh1 Rh 0.151 0.500 0.262
```

Summary:
The calculation puts the total magnetization at 0.0 μB per cell. Its energy of formation is -0.420 eV/atom.

The following is a PBE-GGA calculation of a geometry-optimized Pr2Zn5Rh5 structure, from Alexandria.

Structure (CIF):
```
data_Pr2Zn5Rh5
_space_group_name_H-M_alt 'P m m m'
_space_group_IT_number 47
_space_group_name_Hall '-P 2 2'
_cell_length_a 4.022
_cell_length_b 5.631
_cell_length_c 9.277
_cell_angle_alpha 90.00
_cell_angle_beta 90.00
_cell_angle_gamma 90.00
loop_
_atom_site_label
_atom_site_type_symbol
_atom_site_fract_x
_atom_site_fract_y
_atom_site_fract_z
Pr1 Pr 0.000 0.000 0.000
Pr2 Pr 0.000 0.500 0.500
Zn1 Zn 0.000 0.000 0.329
Zn2 Zn 0.000 0.500 0.168
Zn3 Zn 0.500 0.000 0.500
Rh1 Rh 0.500 0.252 0.258
Rh2 Rh 0.500 0.500 0.000
```

Summary:
The calculation puts the total magnetization at 0.0 μB per cell. Its energy of formation is -0.526 eV/atom.

The following is a PBE-GGA calculation of a geometry-optimized Pr2Zn7Rh structure, from Alexandria.

Structure (CIF):
```
data_Pr2Zn7Rh
_space_group_name_H-M_alt 'P -4 m 2'
_space_group_IT_number 115
_space_group_name_Hall 'P -4 -2'
_cell_length_a 4.267
_cell_length_b 4.267
_cell_length_c 10.518
_cell_angle_alpha 90.00
_cell_angle_beta 90.00
_cell_angle_gamma 90.00
loop_
_atom_site_label
_atom_site_type_symbol
_atom_site_fract_x
_atom_site_fract_y
_atom_site_fract_z
Pr1 Pr 0.000 0.500 0.244
Zn1 Zn 0.000 0.000 0.000
Zn2 Zn 0.000 0.000 0.500
Zn3 Zn 0.000 0.500 0.632
Zn4 Zn 0.000 0.500 0.868
Zn5 Zn 0.500 0.500 0.500
Rh1 Rh 0.500 0.500 0.000
```

Summary:
The calculation puts the total magnetization at 0.0 μB per cell. Its energy of formation is -0.341 eV/atom.